No. 1
LiCaH4Rh: relaxed, GGA-PBE.

E: -3.971 eV per atom

Cell: 5.019 5.147 6.353 Å, 90.00 113.27 90.00°
Sites, in units of the cell vectors:
Li: 0.632 0.750 0.264
Li: 0.368 0.250 0.736
Ca: 0.110 0.250 0.220
Ca: 0.890 0.750 0.780
H: 0.905 0.250 0.810
H: 0.396 0.750 0.791
H: 0.095 0.750 0.190
H: 0.604 0.250 0.209
H: 0.500 0.500 0.500
H: 0.000 0.000 0.500
H: 0.500 0.000 0.500
H: 0.000 0.500 0.500
Rh: 0.247 0.750 0.494
Rh: 0.753 0.250 0.506

No. 2
Li2Ca3H9Ru: relaxed, GGA-PBE.

E: -3.799 eV per atom

Cell: 5.165 5.165 6.311 Å, 90.00 90.00 120.00°
Sites, in units of the cell vectors:
Li: 0.333 0.667 0.160
Li: 0.667 0.333 0.840
Ca: 0.333 0.667 0.668
Ca: 0.000 0.000 0.000
Ca: 0.667 0.333 0.332
H: 0.838 0.162 0.656
H: 0.838 0.677 0.656
H: 0.323 0.162 0.656
H: 0.677 0.838 0.344
H: 0.162 0.323 0.344
H: 0.162 0.838 0.344
H: 0.500 0.000 0.000
H: 0.000 0.500 0.000
H: 0.500 0.500 0.000
Ru: 0.000 0.000 0.500

No. 3
Li2CaH6Ru: relaxed, GGA-PBE.

E: -3.937 eV per atom

Cell: 4.889 5.251 6.816 Å, 90.00 89.96 90.00°
Sites, in units of the cell vectors:
Li: 0.000 0.999 0.280
Li: 0.500 0.501 0.780
Li: 0.000 0.001 0.720
Li: 0.500 0.499 0.220
Ca: 0.500 0.000 0.000
Ca: 0.000 0.500 0.500
H: 0.307 0.640 0.001
H: 0.807 0.860 0.501
H: 0.693 0.360 0.999
H: 0.193 0.140 0.499
H: 0.355 0.805 0.328
H: 0.855 0.695 0.828
H: 0.645 0.195 0.672
H: 0.145 0.305 0.172
H: 0.856 0.691 0.175
H: 0.356 0.809 0.675
H: 0.144 0.309 0.825
H: 0.644 0.191 0.325
Ru: 0.500 0.000 0.500
Ru: 0.000 0.500 0.000

No. 4
LiCaHS: relaxed, GGA-PBE.

Distance to the lowest polymorph of the same formula: 17.4 meV/atom

Cell: 4.614 3.945 3.988 Å, 90.00 90.00 90.00°
Sites, in units of the cell vectors:
Li: 0.000 0.500 0.671
Ca: 0.500 0.000 0.013
H: 0.000 0.000 0.906
S: 0.500 0.500 0.506

No. 5
LiCaHS: relaxed, GGA-PBE.

Distance to the lowest polymorph of the same formula: 97.3 meV/atom

Cell: 4.617 4.557 4.804 Å, 90.00 117.54 90.00°
Sites, in units of the cell vectors:
Li: 0.967 0.000 0.236
Ca: 0.238 0.500 0.763
H: 0.197 0.000 0.679
S: 0.904 0.500 0.110

No. 6
LiCaHS: relaxed, GGA-PBE.

Distance to the lowest polymorph of the same formula: 107.0 meV/atom

Cell: 3.831 3.831 16.581 Å, 90.00 90.00 120.00°
Sites, in units of the cell vectors:
Li: 0.000 0.000 0.111
Li: 0.333 0.667 0.777
Li: 0.667 0.333 0.444
Ca: 0.000 0.000 0.603
Ca: 0.333 0.667 0.270
Ca: 0.667 0.333 0.937
H: 0.000 0.000 0.002
H: 0.333 0.667 0.668
H: 0.667 0.333 0.335
S: 0.000 0.000 0.832
S: 0.333 0.667 0.499
S: 0.667 0.333 0.166

No. 7
LiCaHS: relaxed, GGA-PBE.

Distance to the lowest polymorph of the same formula: 160.7 meV/atom

Cell: 3.697 3.605 6.053 Å, 90.00 90.00 90.00°
Sites, in units of the cell vectors:
Li: 0.500 0.000 0.971
Ca: 0.500 0.500 0.429
H: 0.500 0.000 0.677
S: 0.000 0.000 0.230

No. 8
LiCaHS: relaxed, GGA-PBE.

Distance to the lowest polymorph of the same formula: 0.0 meV/atom

Cell: 4.027 4.027 4.134 Å, 90.00 90.00 120.00°
Sites, in units of the cell vectors:
Li: 0.333 0.667 0.500
Ca: 0.667 0.333 0.000
H: 0.333 0.667 0.000
S: 0.000 0.000 0.500

No. 9
LiCaHS: relaxed, GGA-PBE.

Distance to the lowest polymorph of the same formula: 746.5 meV/atom

Cell: 6.683 3.916 6.694 Å, 90.00 110.29 90.00°
Sites, in units of the cell vectors:
Li: 0.494 0.000 0.472
Li: 0.494 0.500 0.972
Ca: 0.002 0.000 0.314
Ca: 0.002 0.500 0.814
H: 0.277 0.000 0.598
H: 0.277 0.500 0.098
S: 0.280 0.000 0.084
S: 0.280 0.500 0.584

No. 10
LiCaHS: relaxed, GGA-PBE.

Distance to the lowest polymorph of the same formula: 70.8 meV/atom

Cell: 3.899 3.899 15.271 Å, 90.00 90.00 120.00°
Sites, in units of the cell vectors:
Li: 0.000 0.000 0.186
Li: 0.333 0.667 0.852
Li: 0.667 0.333 0.519
Ca: 0.000 0.000 0.006
Ca: 0.333 0.667 0.673
Ca: 0.667 0.333 0.340
H: 0.000 0.000 0.300
H: 0.333 0.667 0.967
H: 0.667 0.333 0.634
S: 0.000 0.000 0.794
S: 0.333 0.667 0.461
S: 0.667 0.333 0.127

No. 11
Li2CaSbH: relaxed, GGA-PBE.

Distance to the lowest polymorph of the same formula: 29.3 meV/atom

Cell: 4.446 5.984 7.625 Å, 90.00 90.00 111.80°
Sites, in units of the cell vectors:
Li: 0.155 0.311 0.941
Li: 0.845 0.689 0.059
Li: 0.155 0.311 0.559
Li: 0.845 0.689 0.441
Ca: 0.430 0.859 0.750
Ca: 0.570 0.141 0.250
Sb: 0.713 0.426 0.750
Sb: 0.287 0.574 0.250
H: 0.000 0.000 0.000
H: 0.000 0.000 0.500

No. 12
Li5Ca2Sb3H2: relaxed, GGA-PBE.

E: -3.351 eV per atom

Cell: 4.598 4.598 11.212 Å, 101.83 101.83 90.00°
Sites, in units of the cell vectors:
Li: 0.580 0.080 0.159
Li: 0.420 0.920 0.841
Li: 0.080 0.580 0.159
Li: 0.920 0.420 0.841
Li: 0.500 0.500 0.000
Ca: 0.689 0.689 0.378
Ca: 0.311 0.311 0.622
Sb: 0.161 0.161 0.321
Sb: 0.839 0.839 0.679
Sb: 0.000 0.000 0.000
H: 0.415 0.415 0.831
H: 0.585 0.585 0.169

Copy entry 10 word for word.
LiCaHS: relaxed, GGA-PBE.

Distance to the lowest polymorph of the same formula: 70.8 meV/atom

Cell: 3.899 3.899 15.271 Å, 90.00 90.00 120.00°
Sites, in units of the cell vectors:
Li: 0.000 0.000 0.186
Li: 0.333 0.667 0.852
Li: 0.667 0.333 0.519
Ca: 0.000 0.000 0.006
Ca: 0.333 0.667 0.673
Ca: 0.667 0.333 0.340
H: 0.000 0.000 0.300
H: 0.333 0.667 0.967
H: 0.667 0.333 0.634
S: 0.000 0.000 0.794
S: 0.333 0.667 0.461
S: 0.667 0.333 0.127

Question: Which formula does entry 2 have?
Answer: Li2Ca3H9Ru